Crystalline CaNiO at its relaxed geometry. Source: Alexandria via LeMat-Bulk, functional GGA+U.

Unit cell a=3.3315 b=3.3315 c=4.0704 alpha=90.00 beta=90.00 gamma=90.00
Space group P4/mmm (No. 123)
One atom of each set of equivalent atoms:
1 Ca 0.0000 0.0000 0.0000 [1 per cell]
2 Ni 0.5000 0.5000 0.5000 [1 per cell]
3 O 0.5000 0.5000 0.0000 [1 per cell]

DFT total energy	-13.45	eV per cell